DFT (PBE with a Hubbard U) results for crystalline MnBrO4 at its relaxed geometry.

Cell lengths 5.0102, 5.0102, 5.0102 Å; angles 101.48, 101.48, 127.02 degrees
With the nearest neighbours (Å) after each atom.
Fractional positions:
Mn (0.0000, 0.0000, 0.0000)  4 O 1.74
Br (0.7500, 0.2500, 0.5000)  4 O 2.01
O (0.0445, 0.1507, 0.7143)  1 Mn 1.74
O (0.4364, 0.3302, 0.2857)  1 Mn 1.74
O (0.6698, 0.9555, 0.1062)  1 Mn 1.74
O (0.8493, 0.5636, 0.8938)  1 Mn 1.74

Values from the calculation:
Calculated volume in Å³ per cell: 89.88
E in eV/cell: -30.080
DOS(E_F) in states/eV/cell: 0.82